Material: BaSrIn2Ge2
Method: DFT, PBE
State: optimized geometry

Structure (CIF):
```
data_BaSrIn2Ge2
_chemical_formula_sum 'Ba1 Sr1 In2 Ge2'
_cell_length_a 4.594
_cell_length_b 4.594
_cell_length_c 10.102
_cell_angle_alpha 90.00
_cell_angle_beta 90.00
_cell_angle_gamma 120.00
_space_group_name_H-M_alt 'P 1'
_space_group_IT_number 1
loop_
_space_group_symop_operation_xyz
'x,y,z'
loop_
_atom_site_label
_atom_site_type_symbol
_atom_site_fract_x
_atom_site_fract_y
_atom_site_fract_z
Ba1 Ba 0.000 0.000 0.000
Sr1 Sr 0.000 0.000 0.500
In1 In 0.333 0.667 0.767
In2 In 0.667 0.333 0.233
Ge1 Ge 0.333 0.667 0.302
Ge2 Ge 0.667 0.333 0.698
```

Computed properties:
ρ = 5395 kg/m3
Total magnetic moment = 0.0 μB/cell
Calculated formation energy = -0.452 eV per atom